1.
## YEr4In2 (GGA-PBE)

Data for a geometry-optimized YEr4In2 structure.

Formation energy, meV per atom: -155
Theoretical density, g cm⁻³: 7.76
Energy above the lowest structure with this stoichiometry, kJ per mole of atoms: 0.00
SG: No. 136

```
YEr4In2
1.0
-1.593 2.597 -3.762
-0.854 -7.822 -5.039
-8.782 -0.995 3.033
In Er Y
4 8 2
Cartesian
-3.981 -1.615 -2.544
-7.438 -2.153 1.664
-2.199 -6.665 -3.671
-7.249 -4.605 -3.224
-3.251 -1.248 0.516
-1.307 -2.923 -1.465
-8.330 -5.895 -0.542
-2.558 -3.643 -4.547
-6.308 -0.414 -0.729
-4.922 -5.806 -5.039
-8.672 -2.577 -1.221
-6.385 -7.570 -2.522
-4.818 -4.409 -1.003
-0.797 1.299 -1.881
```

2.
## Tb3Nd2Sm4 (GGA-PBE)

Data for a geometry-optimized Tb3Nd2Sm4 structure.

Formation energy, meV per atom: 54
Theoretical density, g cm⁻³: 7.40
Energy above the lowest structure with this stoichiometry, kJ per mole of atoms: 3.88
SG: No. 156

```
Tb3Nd2Sm4
1.0
-2.762 2.289 -0.577
1.833 -1.381 -2.816
-17.006 -20.746 -0.897
Sm Tb Nd
4 3 2
Cartesian
-9.248 -11.282 -0.488
-4.977 -3.505 -1.521
-8.619 -7.949 -1.713
-12.921 -15.763 -0.682
-5.531 -6.747 -0.292
-16.701 -20.373 -0.881
-12.318 -12.460 -1.908
-2.732 -0.766 -1.402
-16.045 -17.007 -2.105
```

3.
## KRe2TeP (GGA-PBE)

Data for a geometry-optimized KRe2TeP structure.

Formation energy (no corrections), eV/atom: 3.5719
Theoretical density, g cm⁻³: 7.46
SG: No. 123

```
KRe2TeP
1.0
4.740 0.000 0.000
0.000 5.647 0.000
0.000 0.000 4.740
K Re Te P
1 2 1 1
Cartesian
0.000 0.000 0.000
2.370 0.000 0.000
0.000 0.000 2.370
0.000 2.824 0.000
2.370 2.824 2.370
```

4.
## La4B3SbRh12 (GGA-PBE)

Data for a geometry-optimized La4B3SbRh12 structure.

Formation energy (no corrections), eV/atom: -0.5891
Theoretical density, g cm⁻³: 9.29
SG: No. 229

```
La4B3SbRh12
1.0
7.673 0.000 0.000
-2.558 7.234 0.000
-2.558 -3.617 6.265
La Rh B Sb
4 12 3 1
Cartesian
-1.279 3.617 0.000
1.279 1.808 3.132
-1.279 -1.808 3.132
3.836 0.000 0.000
-1.427 1.009 1.748
1.427 -1.009 1.748
-3.688 2.608 4.517
-1.279 3.617 3.132
1.427 2.018 0.000
3.836 0.000 3.132
-1.279 0.904 4.699
3.688 5.216 0.000
1.279 -0.904 4.699
1.279 4.521 1.566
3.836 2.713 1.566
3.688 -2.608 4.517
-2.558 1.808 3.132
2.558 3.617 0.000
2.558 -1.808 3.132
0.000 0.000 0.000
```

5.
## UPaAsSe (GGA-PBE)

Data for a geometry-optimized UPaAsSe structure.

Formation energy (no corrections), eV/atom: -0.7981
Theoretical density, g cm⁻³: 11.62
Energy above the lowest structure with this stoichiometry, kJ per mole of atoms: 19.01
SG: No. 216

```
UPaAsSe
1.0
-2.440 0.674 4.326
2.514 -0.085 4.335
0.643 4.232 2.607
Pa U As Se
1 1 1 1
Cartesian
0.179 1.205 2.817
0.538 3.615 8.451
0.000 0.000 0.000
0.359 2.410 5.634
```

6.
## Ac2Pm6Tm5 (GGA-PBE)

Data for a geometry-optimized Ac2Pm6Tm5 structure.

Formation energy, meV per atom: 117
Theoretical density, g cm⁻³: 7.95
SG: No. 55

```
Ac2Pm6Tm5
1.0
3.686 0.000 0.000
0.000 12.017 0.000
0.000 0.000 20.451
Pm Tm Ac
12 10 4
Cartesian
0.000 6.937 2.790
0.000 0.929 7.435
0.000 0.684 1.551
0.000 11.333 18.900
1.843 3.847 2.424
0.000 5.324 11.776
0.000 11.088 13.016
0.000 5.080 17.660
1.843 8.170 18.027
1.843 9.855 7.802
1.843 2.162 12.649
0.000 6.693 8.674
1.843 1.208 4.488
1.843 7.217 5.737
1.843 9.601 1.089
1.843 3.593 9.136
1.843 0.000 10.225
1.843 8.425 11.315
1.843 10.809 15.963
1.843 4.801 14.714
1.843 6.009 0.000
1.843 2.416 19.362
0.000 7.938 14.725
0.000 1.929 15.951
0.000 4.080 5.726
0.000 10.088 4.500
```

7.
## LaTm3 (GGA-PBE)

Data for a geometry-optimized LaTm3 structure.

Formation energy, meV per atom: 35
Theoretical density, g cm⁻³: 8.35
SG: No. 25

```
LaTm3
1.0
-1.110 0.421 -3.435
-4.981 -2.407 1.315
-2.320 5.585 1.435
Tm La
3 1
Cartesian
-2.309 5.558 1.428
-4.980 3.662 0.136
-1.717 3.007 -0.999
-3.274 0.681 1.142
```

8.
## Sr2SnAsPt6 (GGA-PBE)

Data for a geometry-optimized Sr2SnAsPt6 structure.

Formation energy, meV per atom: -639
Theoretical density, g cm⁻³: 11.33
SG: No. 12

```
Sr2SnAsPt6
1.0
6.693 0.264 0.909
0.289 7.003 1.192
4.171 4.429 6.090
Pt Sr As Sn
6 2 1 1
Cartesian
9.499 9.693 7.590
3.916 3.839 3.502
5.644 2.554 1.799
1.654 2.003 0.602
5.509 9.142 6.392
7.237 7.857 4.689
3.820 7.332 3.914
7.333 4.364 4.277
3.491 3.633 1.051
0.000 0.000 0.000
```

9.
## CuPb2W (GGA-PBE)

Data for a geometry-optimized CuPb2W structure.

Formation energy, meV per atom: 807
Theoretical density, g cm⁻³: 13.26
Energy above the lowest structure with this stoichiometry, kJ per mole of atoms: 25.64
SG: No. 166

```
CuPb2W
1.0
9.146 -0.004 -0.003
8.563 3.213 -0.003
8.563 1.551 2.813
Pb W Cu
2 1 1
Cartesian
0.061 0.011 0.006
13.076 2.369 1.398
6.568 1.190 0.702
19.705 3.570 2.106
```

10.
## TbPr2Er3 (GGA-PBE)

Data for a geometry-optimized TbPr2Er3 structure.

Formation energy, meV per atom: 122
Theoretical density, g cm⁻³: 7.88
Energy above the lowest structure with this stoichiometry, kJ per mole of atoms: 4.61
SG: No. 12

```
TbPr2Er3
1.0
3.509 0.000 0.000
1.755 8.927 0.153
1.755 2.184 12.721
Pr Er Tb
4 6 2
Cartesian
3.509 8.535 6.084
1.755 4.900 1.606
3.509 2.576 6.789
5.264 6.212 11.267
1.755 1.577 0.365
5.264 8.225 2.767
1.755 2.886 10.106
1.755 2.263 3.745
5.264 8.849 9.129
5.264 9.535 12.509
3.509 5.714 8.248
3.509 5.398 4.625
```

11.
## CuAsI2N (GGA-PBE)

Data for a geometry-optimized CuAsI2N structure.

Formation energy (no corrections), eV/atom: 0.9391
Theoretical density, g cm⁻³: 5.90
Energy above the lowest structure with this stoichiometry, kJ per mole of atoms: 4.17
SG: No. 123

```
CuAsI2N
1.0
-2.798 -4.214 2.348
2.356 -3.562 -3.586
2.776 -0.533 2.353
N I As Cu
1 2 1 1
Cartesian
1.388 -0.266 1.176
1.178 -1.781 -1.793
-1.399 -2.107 1.174
1.167 -4.154 0.557
0.000 0.000 0.000
```

12.
## NpInAu11 (GGA-PBE)

Data for a geometry-optimized NpInAu11 structure.

Formation energy, meV per atom: -46
Theoretical density, g cm⁻³: 16.11
SG: No. 12

```
NpInAu11
1.0
5.174 0.003 2.155
2.535 6.988 1.056
0.038 0.002 7.196
Au Np In
11 1 1
Cartesian
3.185 1.478 6.984
5.681 5.517 8.024
3.453 4.609 6.118
0.019 0.001 3.598
0.933 2.383 5.068
6.813 4.610 5.340
4.561 5.515 3.424
4.293 2.384 4.290
2.066 1.476 2.384
2.606 0.002 4.676
1.267 3.494 0.528
0.000 0.000 0.000
3.854 3.496 1.606
```

Q: The highest theoretical density belongs to which entry?
A: NpInAu11

Q: Among the records above, which one has the lowest theoretical density?
A: CuAsI2N

Q: theoretical density of number 3 (KRe2TeP)?
A: 7.46 g cm⁻³